(1)
{"formula": "Pm2Ga2Ni", "functional": "PBE", "state": "relaxed", "lattice_angstrom": [[-3.7957, 1.7016, -1.1813], [-3.6962, -4.0500, -1.8719], [-4.9973, 0.1301, 8.3302]], "species": ["Ni", "Ni", "Pm", "Pm", "Ga", "Ga", "Pm", "Ga", "Pm", "Ga"], "frac_coords": [[0.3759, 0.9013, 0.3470], [0.6241, 0.0987, 0.6530], [0.9260, 0.2657, 0.8823], [0.6729, 0.3201, 0.3342], [0.3673, 0.1467, 0.1187], [0.8975, 0.7640, 0.4411], [0.3271, 0.6799, 0.6658], [0.1025, 0.2360, 0.5589], [0.0740, 0.7343, 0.1177], [0.6327, 0.8533, 0.8813]], "ef_ev_per_fu": -2.808, "spacegroup": "No. 12"}

(2)
{"formula": "Nd2SnI", "functional": "PBE", "state": "relaxed", "lattice_angstrom": [[4.5743, 0.0000, 0.0000], [0.0000, 7.7583, 0.0000], [0.0000, 0.0000, 7.9268]], "species": ["Nd", "Nd", "Nd", "I", "I", "Sn", "Sn", "Nd"], "frac_coords": [[0.2500, 0.4953, 0.2194], [0.2500, 0.0047, 0.2194], [0.7500, 0.9953, 0.7806], [0.2500, 0.2500, 0.5790], [0.7500, 0.7500, 0.4210], [0.7500, 0.2500, 0.0919], [0.2500, 0.7500, 0.9081], [0.7500, 0.5047, 0.7806]], "de_polymorph_ev_per_atom": 0.072, "e_form_raw_mev_per_atom": -805.7, "spacegroup": "No. 59"}

(3)
{"formula": "TiGa2H", "functional": "PBE", "state": "relaxed", "lattice_angstrom": [[-2.6775, -2.5817, -2.2964], [-3.7692, 1.5840, -1.5465], [-0.5032, 0.6413, -4.2946]], "species": ["Ga", "Ga", "H", "Ti"], "frac_coords": [[0.2500, 0.2500, 0.2500], [0.7500, 0.7500, 0.7500], [0.0000, 0.0000, 0.0000], [0.5000, 0.5000, 0.5000]], "de_polymorph_ev_per_atom": 0.422, "spacegroup": "No. 225"}

(4)
{"formula": "Te2PdPt2", "functional": "PBE", "state": "relaxed", "lattice_angstrom": [[3.7977, 0.0000, 0.0000], [0.0000, 3.7977, 0.0000], [1.8989, 1.8989, 7.3457]], "species": ["Te", "Pd", "Te", "Pt", "Pt"], "frac_coords": [[0.3889, 0.3889, 0.2221], [0.0000, 0.0000, 0.0000], [0.6111, 0.6111, 0.7779], [0.7500, 0.2500, 0.5000], [0.2500, 0.7500, 0.5000]], "e_form_raw_mev_per_atom": 14.2, "spacegroup": "No. 139"}

(5)
{"formula": "Sr2AsBr", "functional": "PBE", "state": "relaxed", "lattice_angstrom": [[6.8887, 0.0000, 0.0000], [0.0000, 6.8887, 0.0000], [3.4444, 3.4444, 7.4201]], "species": ["Sr", "As", "Sr", "Br", "Br", "Sr", "Sr", "As"], "frac_coords": [[0.5966, 0.1250, 0.2500], [0.5000, 0.5000, 0.0000], [0.8750, 0.8466, 0.7500], [0.7500, 0.2500, 0.5000], [0.0000, 0.0000, 0.0000], [0.1534, 0.6250, 0.2500], [0.3750, 0.4034, 0.7500], [0.2500, 0.7500, 0.5000]], "e_form_raw_mev_per_atom": -1298.6, "spacegroup": "No. 122"}

(6)
{"formula": "AlZn2Br", "functional": "PBE", "state": "relaxed", "lattice_angstrom": [[5.0744, 0.0000, 0.0000], [2.5372, 4.3946, 0.0000], [2.5372, 1.4649, 4.1432]], "species": ["Zn", "Zn", "Al", "Br"], "frac_coords": [[0.2500, 0.2500, 0.2500], [0.0000, 0.0000, 0.0000], [0.5000, 0.5000, 0.5000], [0.7500, 0.7500, 0.7500]], "de_polymorph_ev_per_atom": 0.483, "e_form_raw_mev_per_atom": 289.5, "spacegroup": "No. 216"}

(7)
{"formula": "BaHgW", "functional": "PBE", "state": "relaxed", "lattice_angstrom": [[5.4672, 0.0000, 0.0000], [2.7336, 4.7347, 0.0000], [2.7336, 1.5782, 4.4640]], "species": ["Hg", "Ba", "W"], "frac_coords": [[0.0000, 0.0000, 0.0000], [0.7500, 0.7500, 0.7500], [0.5000, 0.5000, 0.5000]], "de_polymorph_ev_per_atom": 0.787, "ef_ev_per_fu": 5.301, "spacegroup": "No. 216"}

(8)
{"formula": "KVCdCl6", "functional": "PBE", "state": "relaxed", "lattice_angstrom": [[6.6564, 0.0000, 0.0000], [-3.3282, 5.7646, 0.0000], [0.0000, 0.0000, 13.6640]], "species": ["Cd", "K", "V", "Cl", "Cl", "K", "Cl", "Cl", "Cl", "Cd", "Cl", "Cl", "V", "Cl", "Cl", "Cl", "Cl", "Cl"], "frac_coords": [[0.3333, 0.6667, 0.7500], [0.0000, 0.0000, 0.5000], [0.3333, 0.6667, 0.2500], [0.0302, 0.3861, 0.1474], [0.6139, 0.9698, 0.3526], [0.0000, 0.0000, 0.0000], [0.6441, 0.6139, 0.6474], [0.9698, 0.6139, 0.8526], [0.6441, 0.0302, 0.8526], [0.6667, 0.3333, 0.2500], [0.0302, 0.6441, 0.3526], [0.9698, 0.3559, 0.6474], [0.6667, 0.3333, 0.7500], [0.3559, 0.9698, 0.1474], [0.6139, 0.6441, 0.1474], [0.3861, 0.3559, 0.8526], [0.3559, 0.3861, 0.3526], [0.3861, 0.0302, 0.6474]], "e_form_raw_mev_per_atom": -1353.0, "spacegroup": "No. 163"}

(9)
{"formula": "Ho3ScGe2C", "functional": "PBE", "state": "relaxed", "lattice_angstrom": [[4.4325, 0.0000, 0.0000], [0.0000, 4.6273, 0.0000], [-2.2162, -2.3136, 7.5567]], "species": ["Ho", "Ho", "C", "Ho", "Sc", "Ge", "Ge"], "frac_coords": [[0.0000, 0.5000, 0.0000], [0.8339, 0.8339, 0.6678], [0.0000, 0.0000, 0.0000], [0.1661, 0.1661, 0.3322], [0.5000, 0.0000, 0.0000], [0.6366, 0.6365, 0.2731], [0.3634, 0.3634, 0.7269]], "ef_ev_per_fu": -5.192, "spacegroup": "No. 71"}

(10)
{"formula": "Tb7Sb3C2", "functional": "PBE", "state": "relaxed", "lattice_angstrom": [[-2.1860, 0.3610, 4.3696], [-1.7244, -4.4741, -0.4931], [11.2823, -4.7105, 3.2869]], "species": ["Tb", "C", "Sb", "Tb", "Sb", "Tb", "Tb", "C", "Sb", "Tb", "Tb", "Tb"], "frac_coords": [[0.5972, 0.0000, 0.1944], [0.1013, 0.0000, 0.2027], [0.3121, 0.5000, 0.6242], [0.8027, 0.0000, 0.6054], [0.6879, 0.5000, 0.3758], [0.9034, 0.5000, 0.8069], [0.0966, 0.5000, 0.1931], [0.8987, 0.0000, 0.7973], [0.5000, 0.5000, 0.0000], [0.0000, 0.0000, 0.0000], [0.1973, 0.0000, 0.3946], [0.4028, 0.0000, 0.8056]], "e_form_raw_mev_per_atom": -676.3, "spacegroup": "No. 65"}

(11)
{"formula": "V3CrW3", "functional": "PBE", "state": "relaxed", "lattice_angstrom": [[-1.9895, 7.6429, 0.9963], [-5.8422, 2.9182, 3.6342], [-1.2736, 2.8914, 5.8928]], "species": ["W", "V", "V", "V", "V", "W", "W", "W", "V", "W", "V", "Cr", "W", "Cr"], "frac_coords": [[0.4630, 0.6082, 0.7531], [0.6805, 0.9619, 0.2557], [0.9623, 0.1004, 0.2528], [0.1057, 0.6779, 0.2480], [0.0377, 0.8996, 0.7472], [0.8309, 0.5333, 0.2465], [0.6134, 0.1713, 0.7509], [0.1691, 0.4667, 0.7535], [0.3195, 0.0381, 0.7443], [0.3866, 0.8287, 0.2491], [0.8943, 0.3221, 0.7520], [0.7513, 0.7491, 0.7460], [0.5370, 0.3918, 0.2469], [0.2487, 0.2509, 0.2540]], "ef_ev_per_fu": -0.320, "spacegroup": "No. 2"}

(12)
{"formula": "TaReAu2", "functional": "PBE", "state": "relaxed", "lattice_angstrom": [[4.3187, 0.0000, 0.0000], [0.0000, 2.8002, 0.0023], [0.0000, 2.7869, 5.5743]], "species": ["Au", "Au", "Ta", "Re"], "frac_coords": [[0.0000, 0.9973, 0.0029], [0.0000, 0.5027, 0.4971], [0.5000, 0.7500, 0.7500], [0.5000, 0.2500, 0.2500]], "de_polymorph_ev_per_atom": 0.147, "ef_ev_per_fu": 1.018, "spacegroup": "No. 10"}